Density functional theory data (GGA+U) for HfV3O after structural relaxation.

a b c (Å): 4.1835 4.1835 4.1835
angles (deg): 90.00 90.00 90.00
With the nearest neighbours (Å) after each atom.
Fractional positions:
Hf 0.0000 0.0000 0.0000  12 V 2.96
V 0.0000 0.5000 0.5000  2 O 2.09
V 0.5000 0.0000 0.5000  2 O 2.09
V 0.5000 0.5000 0.0000  2 O 2.09
O 0.5000 0.5000 0.5000  6 V 2.09

Results
V ... 14.64 Å³/atom
Energy relative to the lowest polymorph listed for this composition ... 0 meV/atom
Uncorrected energy ... -7.269 eV per atom